An optimized crystal structure of CeNd4Y3Te8, computed with PBE.

The structure belongs to space group R-3m (No. 166, hexagonal axes); the cell edges are 8.8776, 8.8776 and 21.8886 Å and the angles 90.00°, 90.00° and 120.00°. The distinct sites, in fractional coordinates, are Ce at (0.0000, 0.0000, 0.0000), Nd at (0.0000, 0.0000, 0.5000), Nd at (0.0000, 0.5000, 0.5000), Y at (0.0000, 0.5000, 0.0000), Te at (0.0000, 0.0000, 0.2538) and Te at (0.0042, 0.5021, 0.2528).

As for the formation energy from raw total energies: -1.375 eV per atom. The value obtained for the uncorrected energy is -5.721 eV/atom. The calculation puts the volume at 1493.9 Å³ per cell. The density of states at the Fermi level is 49.83 states/eV/cell.